No. 1
{
  "formula": "CrHOs",
  "functional": "PBE",
  "state": "relaxed",
  "total_magnetization_mub_per_atom": 0.00,
  "relative_energy_ev_per_atom": 0.125,
  "lattice": [[-1.190, 2.261, -0.997], [-3.790, -2.591, -1.355], [-4.459, -0.980, 3.097]],
  "species": ["Os", "Cr", "H", "Os", "H", "Cr"],
  "fractional_positions": [[0.000, 0.960, 0.770], [0.500, 0.500, 0.213], [0.500, 0.733, 0.384], [0.000, 0.040, 0.230], [0.500, 0.267, 0.616], [0.500, 0.500, 0.787]]
}

=====

No. 2
{
  "formula": "YTh14Sc",
  "functional": "PBE",
  "state": "relaxed",
  "total_magnetization_mub_per_atom": 0.00,
  "dft_energy_ev_per_cell": -116.1,
  "lattice": [[-4.436, -4.968, -2.591], [7.051, -0.653, -0.964], [0.807, -5.875, 9.885]],
  "species": ["Th", "Th", "Th", "Th", "Th", "Th", "Th", "Th", "Th", "Th", "Sc", "Y", "Th", "Th", "Th", "Th"],
  "fractional_positions": [[0.875, 0.125, 0.248], [0.707, 0.293, 0.000], [0.208, 0.792, 0.000], [0.043, 0.454, 0.500], [0.875, 0.125, 0.752], [0.873, 0.624, 0.252], [0.546, 0.957, 0.500], [0.376, 0.624, 0.748], [0.873, 0.624, 0.748], [0.376, 0.127, 0.252], [0.540, 0.460, 0.500], [0.040, 0.960, 0.500], [0.707, 0.791, 0.000], [0.209, 0.293, 0.000], [0.376, 0.127, 0.748], [0.376, 0.624, 0.252]]
}

=====

No. 3
{
  "formula": "Li2GdTl",
  "functional": "PBE",
  "state": "relaxed",
  "total_magnetization_mub_per_atom": 2.07,
  "relative_energy_ev_per_atom": 0.130,
  "lattice": [[-4.501, 1.608, 0.027], [-0.672, -1.812, -4.091], [-1.366, -3.857, 1.933]],
  "species": ["Li", "Tl", "Gd", "Li"],
  "fractional_positions": [[0.000, 0.000, 0.500], [0.500, 0.000, 0.000], [0.500, 0.500, 0.500], [0.000, 0.500, 0.000]]
}

=====

No. 4
{
  "formula": "Na2ZnCdF6",
  "functional": "PBE",
  "state": "relaxed",
  "total_magnetization_mub_per_atom": 0.00,
  "e_form_raw_ev_per_atom": -2.3791,
  "lattice": [[-3.546, -2.423, -1.283], [-0.826, -1.749, 5.587], [-3.521, 4.657, 0.937]],
  "species": ["Cd", "F", "F", "Zn", "Na", "F", "Na", "F", "F", "F"],
  "fractional_positions": [[0.627, 0.500, 0.500], [0.721, 0.762, 0.238], [0.721, 0.238, 0.762], [0.630, 0.000, 0.000], [0.985, 0.500, 0.000], [0.144, 0.500, 0.500], [0.985, 0.000, 0.500], [0.192, 0.000, 0.000], [0.721, 0.762, 0.762], [0.721, 0.238, 0.238]]
}

=====

No. 5
{
  "formula": "CuHg2MoSe",
  "functional": "PBE",
  "state": "relaxed",
  "total_magnetization_mub_per_atom": 0.66,
  "e_form_raw_ev_per_atom": 1.1870,
  "lattice": [[-4.059, -3.532, 0.846], [2.724, -3.560, -1.794], [1.936, -1.031, 4.986]],
  "species": ["Hg", "Hg", "Mo", "Cu", "Se"],
  "fractional_positions": [[0.500, 0.000, 0.000], [0.000, 0.000, 0.500], [0.000, 0.500, 0.000], [0.500, 0.500, 0.500], [0.000, 0.000, 0.000]]
}

=====

No. 6
{
  "formula": "Ba3Na3Sr",
  "functional": "PBE",
  "state": "relaxed",
  "total_magnetization_mub_per_atom": 0.08,
  "relative_energy_ev_per_atom": 0.024,
  "lattice": [[-6.829, -4.147, -4.600], [5.083, -7.648, 0.820], [-3.978, -1.608, 7.704]],
  "species": ["Na", "Ba", "Na", "Na", "Na", "Ba", "Sr", "Na", "Na", "Ba", "Ba", "Ba", "Sr", "Ba"],
  "fractional_positions": [[0.483, 0.002, 0.748], [0.634, 0.634, 0.364], [0.935, 0.935, 0.174], [0.998, 0.517, 0.252], [0.517, 0.998, 0.252], [0.186, 0.814, 0.500], [0.269, 0.269, 0.143], [0.002, 0.483, 0.748], [0.065, 0.065, 0.826], [0.273, 0.727, 0.000], [0.727, 0.273, 0.000], [0.814, 0.186, 0.500], [0.731, 0.731, 0.857], [0.366, 0.366, 0.636]]
}

=====

No. 7
{
  "formula": "Na2ScCd2",
  "functional": "PBE",
  "state": "relaxed",
  "total_magnetization_mub_per_atom": 0.00,
  "relative_energy_ev_per_atom": 0.023,
  "lattice": [[-6.433, -5.221, 2.509], [-0.521, -3.212, -8.021], [2.158, -2.287, 0.776]],
  "species": ["Cd", "Cd", "Na", "Sc", "Na", "Na", "Cd", "Sc", "Na", "Cd"],
  "fractional_positions": [[0.314, 0.186, 0.500], [0.686, 0.814, 0.500], [0.382, 0.882, 0.000], [0.000, 0.000, 0.000], [0.882, 0.618, 0.000], [0.118, 0.382, 0.000], [0.814, 0.314, 0.500], [0.500, 0.500, 0.000], [0.618, 0.118, 0.000], [0.186, 0.686, 0.500]]
}

=====

No. 8
{
  "formula": "Ho6AlTl",
  "functional": "PBE",
  "state": "relaxed",
  "total_magnetization_mub_per_atom": 0.00,
  "relative_energy_ev_per_atom": 0.000,
  "lattice": [[4.783, 0.000, 0.000], [0.000, 4.783, 0.000], [0.000, 0.000, 9.570]],
  "species": ["Ho", "Ho", "Ho", "Ho", "Ho", "Ho", "Tl", "Al"],
  "fractional_positions": [[0.000, 0.500, 0.259], [0.500, 0.500, 0.500], [0.500, 0.000, 0.741], [0.500, 0.500, 0.000], [0.500, 0.000, 0.259], [0.000, 0.500, 0.741], [0.000, 0.000, 0.000], [0.000, 0.000, 0.500]]
}